# Pr2Pd6Au PBE relaxed
# Magnetization   0.0 μB/cell
# Raw total energy   -98.96 eV per cell
# ΔE to the lowest computed polymorph   0.10 eV per formula unit
# Formation energy   -0.609 eV/atom
data_Pr2Pd6Au
_cell_length_a 9.9760
_cell_length_b 4.4650
_cell_length_c 8.4481
_cell_angle_alpha 90.00
_cell_angle_beta 109.65
_cell_angle_gamma 90.00
_space_group_name_H-M_alt 'C 1 2/m 1'
_space_group_IT_number 12
loop_
_space_group_symop_operation_xyz
'x,y,z'
'-x,-y,-z'
'-x,y,-z'
'x,-y,z'
'x+1/2,y+1/2,z'
'-x+1/2,-y+1/2,-z'
'-x+1/2,y+1/2,-z'
'x+1/2,-y+1/2,z'
loop_
_atom_site_label
_atom_site_fract_x
_atom_site_fract_y
_atom_site_fract_z
Pr1 0.0173 0.0000 0.2769
Pd1 0.1455 0.5000 0.5525
Pd2 0.2277 0.0000 0.0772
Pd3 0.2322 0.5000 0.2781
Au1 0.0000 0.5000 0.0000